No. 1
Entry from the Alexandria database: a geometry-optimized Th3AlCo3 structure (PBE).

a b c (Å): 3.985 5.574 13.508
angles (deg): 90.00 90.00 110.95
Fractional positions:
Al 0.500 0.000 0.500
Al 0.500 0.000 0.000
Co 0.759 0.519 0.750
Co 0.241 0.481 0.250
Co 0.929 0.858 0.593
Co 0.071 0.142 0.093
Co 0.929 0.858 0.907
Co 0.071 0.142 0.407
Th 0.791 0.581 0.105
Th 0.515 0.029 0.250
Th 0.209 0.419 0.605
Th 0.791 0.581 0.395
Th 0.485 0.971 0.750
Th 0.209 0.419 0.895

Calculated values
As for the energy relative to the elements: -2.6 eV/f.u. As for the energy above the most stable polymorph in this dataset: 0 meV per atom. For the total magnetic moment, the calculation gives 0.000 μB/atom. As for the calculated density: 10.67 g/cm³. As for the symmetry: No. 63.


No. 2
Entry from the Alexandria database: a geometry-optimized ThAl2Co structure (PBE).

a b c (Å): 3.218 3.218 8.813
angles (deg): 79.48 79.48 60.00
Site moments in Bohr magnetons follow the coordinates.
Fractional positions:
Co 0.000 0.000 0.000  0.59
Al 0.728 0.728 0.815  -0.01
Al 0.272 0.272 0.185  -0.01
Th 0.500 0.500 0.500  0.04

Calculated values
As for the energy relative to the elements: 0.3 eV/f.u. For the total magnetic moment, the calculation gives 0.157 μB/atom. As for the calculated density: 7.41 g/cm³. As for the symmetry: No. 166.


No. 3
Entry from the Alexandria database: a geometry-optimized Th2AlCo2 structure (PBE).

a b c (Å): 7.293 7.293 7.479
angles (deg): 90.00 90.00 90.00
Fractional positions:
Co 0.133 0.367 0.750
Co 0.633 0.133 0.250
Co 0.867 0.633 0.250
Co 0.367 0.867 0.250
Co 0.867 0.633 0.750
Co 0.633 0.133 0.750
Co 0.367 0.867 0.750
Co 0.133 0.367 0.250
Th 0.675 0.825 0.500
Th 0.825 0.325 0.000
Th 0.175 0.675 0.000
Th 0.675 0.825 0.000
Th 0.325 0.175 0.000
Th 0.325 0.175 0.500
Th 0.825 0.325 0.500
Th 0.175 0.675 0.500
Al 0.500 0.500 0.250
Al 0.000 0.000 0.750
Al 0.000 0.000 0.250
Al 0.500 0.500 0.750

Calculated values
As for the energy relative to the elements: -2.0 eV/f.u. For the total magnetic moment, the calculation gives 0.000 μB/atom. As for the calculated density: 10.17 g/cm³. As for the symmetry: No. 128.


No. 4
Entry from the Alexandria database: a geometry-optimized ThAlCo structure (PBE).

a b c (Å): 3.832 7.184 12.668
angles (deg): 90.00 90.00 90.00
Fractional positions:
Al 0.500 0.576 0.639
Al 0.500 0.424 0.139
Al 0.500 0.769 0.250
Al 0.500 0.576 0.861
Al 0.500 0.231 0.750
Al 0.500 0.424 0.361
Co 0.500 0.060 0.398
Co 0.500 0.940 0.602
Co 0.500 0.940 0.898
Co 0.500 0.060 0.102
Co 0.000 0.545 0.250
Co 0.000 0.455 0.750
Th 0.000 0.884 0.750
Th 0.000 0.243 0.540
Th 0.000 0.116 0.250
Th 0.000 0.243 0.960
Th 0.000 0.757 0.460
Th 0.000 0.757 0.040

Calculated values
As for the energy relative to the elements: -1.4 eV/f.u. For the total magnetic moment, the calculation gives 0.000 μB/atom. As for the calculated density: 9.08 g/cm³. As for the symmetry: No. 51.


Question: Among the records above, which one has the highest energy relative to the elements?
Answer: ThAl2Co